[1]
# ScTlNi2 | Alexandria | PBE | relaxed
# formation enthalpy at 0 K = 176 meV per atom
# DOS at the Fermi energy = 0.6236 states/eV per atom
data_ScTlNi2
_cell_length_a 7.062
_cell_length_b 7.062
_cell_length_c 5.729
_cell_angle_alpha 90.00
_cell_angle_beta 90.00
_cell_angle_gamma 90.00
_symmetry_space_group_name_H-M 'I -4 2 d'
_symmetry_Int_Tables_number 122
_symmetry_space_group_name_Hall 'I -4 2bw'
loop_
_atom_site_label
_atom_site_type_symbol
_atom_site_fract_x
_atom_site_fract_y
_atom_site_fract_z
_atom_site_occupancy
Sc1 Sc 0.000 0.000 0.000 1
Tl1 Tl 0.000 0.000 0.500 1
Ni1 Ni 0.238 0.250 0.125 1

[2]
# TmNbIO4 | Alexandria | PBE | relaxed
# formation energy (no corrections) = -2.5015 eV per atom
data_TmNbIO4
_cell_length_a 12.644
_cell_length_b 6.390
_cell_length_c 6.873
_cell_angle_alpha 90.00
_cell_angle_beta 105.53
_cell_angle_gamma 90.00
_symmetry_space_group_name_H-M 'C 1 2/m 1'
_symmetry_Int_Tables_number 12
_symmetry_space_group_name_Hall '-C 2y'
loop_
_atom_site_label
_atom_site_type_symbol
_atom_site_fract_x
_atom_site_fract_y
_atom_site_fract_z
_atom_site_occupancy
Tm1 Tm 0.208 0.000 0.342 1
Nb1 Nb 0.121 0.000 0.741 1
I1 I 0.034 0.500 0.202 1
O1 O 0.032 0.000 0.315 1
O2 O 0.178 0.000 0.019 1
O3 O 0.183 0.225 0.623 1